No. 1
VASP calculation (GGA-PBEsol) on a relaxed structure of SrIn2Se.

a b c (Å): 6.0564 6.1151 12.2320
angles (deg): 90.00 90.00 90.00
Closest atoms and distances in Å follow each position.
Space group Fmmm (No. 69)
One atom of each set of equivalent atoms:
Sr  0.0000  0.0000  0.0000 (multiplicity 4)  4 Se 3.03-3.06
In  0.0000  0.2500  0.2500 (multiplicity 8)  4 In 3.03-3.06
Se  0.0000  0.0000  0.5000 (multiplicity 4)  4 Sr 3.03-3.06

Properties
Raw formation energy in eV/atom: -0.745

***

No. 2
VASP calculation (GGA-PBEsol) on a relaxed structure of ScAuSe2.

a b c (Å): 3.9791 3.9791 18.3025
angles (deg): 90.00 90.00 120.00
Closest atoms and distances in Å follow each position.
Space group R-3m (No. 166, hexagonal axes)
One atom of each set of equivalent atoms:
Sc  0.0000  0.0000  0.0000 (multiplicity 3)  6 Se 2.73
Au  0.0000  0.0000  0.5000 (multiplicity 3)  6 Se 2.78
Se  0.0000  0.0000  0.2526 (multiplicity 6)  3 Sc 2.73, 3 Au 2.78

Properties
Raw formation energy in eV/atom: -0.813

***

No. 3
VASP calculation (GGA-PBEsol) on a relaxed structure of LaFeSe2.

a b c (Å): 3.4684 3.4684 6.8318
angles (deg): 90.00 90.00 90.00
Closest atoms and distances in Å follow each position.
Space group P4/mmm (No. 123)
One atom of each set of equivalent atoms:
La  0.0000  0.0000  0.0000 (multiplicity 1)  8 Se 3.08, 2 Fe 3.42
Fe  0.0000  0.0000  0.5000 (multiplicity 1)  8 Se 2.90
Se  0.5000  0.5000  0.2729 (multiplicity 2)  4 Fe 2.90, 4 La 3.08, 1 Se 3.10

Properties
E above lowest polymorph in meV/atom: 319.7
Raw formation energy in eV/atom: -0.649

***

No. 4
VASP calculation (GGA-PBEsol) on a relaxed structure of Rb2LiCoF6.

a b c (Å): 8.0419 8.0419 8.0419
angles (deg): 90.00 90.00 90.00
Closest atoms and distances in Å follow each position.
Space group Fm-3m (No. 225)
One atom of each set of equivalent atoms:
Rb  0.2500  0.2500  0.2500 (multiplicity 8)  12 F 2.85
Li  0.0000  0.0000  0.0000 (multiplicity 4)  6 F 2.16
Co  0.0000  0.0000  0.5000 (multiplicity 4)  6 F 1.86
F  0.0000  0.0000  0.2685 (multiplicity 24)  1 Co 1.86

Properties
Raw formation energy in eV/atom: -2.488

***

No. 5
VASP calculation (GGA-PBEsol) on a relaxed structure of KTcAgP2.

a b c (Å): 4.5161 4.5161 5.3178
angles (deg): 90.00 90.00 90.00
Closest atoms and distances in Å follow each position.
Space group P4/mmm (No. 123)
One atom of each set of equivalent atoms:
K  0.0000  0.0000  0.0000 (multiplicity 1)  4 Ag 3.19, 8 P 3.49
Tc  0.5000  0.5000  0.5000 (multiplicity 1)  4 P 2.26
Ag  0.5000  0.5000  0.0000 (multiplicity 1)  2 Tc 2.66
P  0.0000  0.5000  0.5000 (multiplicity 2)  2 Tc 2.26

Properties
Calculated formation energy in eV per atom: 0.049

***

No. 6
VASP calculation (GGA-PBEsol) on a relaxed structure of YIrW2.

a b c (Å): 3.3164 4.4197 9.4398
angles (deg): 90.00 90.00 90.00
Closest atoms and distances in Å follow each position.
Space group Immm (No. 71)
One atom of each set of equivalent atoms:
Y  0.0000  0.0000  0.0000 (multiplicity 2)  4 Ir 2.76, 4 W 2.94
Ir  0.0000  0.0000  0.5000 (multiplicity 2)  4 Y 2.76, 4 W 2.83
W  0.0000  0.5000  0.2425 (multiplicity 4)  4 W 2.77, 2 Ir 2.83, 2 Y 2.94

Properties
E above lowest polymorph in meV/atom: 0.0
Calculated formation energy in eV per atom: 0.201

***

No. 7
VASP calculation (GGA-PBEsol) on a relaxed structure of BaZrAl2.

a b c (Å): 6.8133 8.8295 3.1302
angles (deg): 90.00 90.00 90.00
Closest atoms and distances in Å follow each position.
Space group Cmmm (No. 65)
One atom of each set of equivalent atoms:
Ba  0.0000  0.0000  0.0000 (multiplicity 2)  2 Ba 3.13, 8 Al 3.20, 2 Zr 3.41
Zr  0.0000  0.5000  0.0000 (multiplicity 2)  2 Zr 3.13, 8 Al 3.20, 2 Ba 3.41
Al  0.2500  0.2500  0.5000 (multiplicity 4)  4 Al 3.13-3.41, 4 Zr 3.20, 4 Ba 3.20

Properties
E above lowest polymorph in meV/atom: 231.9
Calculated formation energy in eV per atom: 0.102

***

No. 8
VASP calculation (GGA-PBEsol) on a relaxed structure of PtPb3W.

a b c (Å): 5.2501 5.2501 5.2501
angles (deg): 90.00 90.00 90.00
Closest atoms and distances in Å follow each position.
Space group Pm-3m (No. 221)
One atom of each set of equivalent atoms:
Pt  0.0000  0.0000  0.0000 (multiplicity 1)  6 Pb 2.63
Pb  0.0000  0.0000  0.5000 (multiplicity 3)  2 Pt 2.63
W  0.5000  0.5000  0.5000 (multiplicity 1)  12 Pb 3.71

Properties
Calculated formation energy in eV per atom: 1.383